Entry from the Alexandria database: a PBEsol-optimized structure of Ag3Au2 (SCAN).

The calculated volume is 249.97 Å³/cell. The value obtained for the mass density is 14.300 g/cm³. For the raw total energy, the calculation gives -46.54 eV per atom. Its formation energy is -0.054 eV per atom.

The space group is R-3m (No. 166, hexagonal axes) and the conventional cell measures 2.8712, 2.8712 and 35.0122 Å, with angles of 90.00, 90.00 and 120.00 degrees. The inequivalent atoms are Ag at (0.0000, 0.0000, 0.0000), Ag at (0.0000, 0.0000, 0.1996) and Au at (0.0000, 0.0000, 0.4000).